Here is a relaxed structure of Cu3Ag2 from the Open Quantum Materials Database. Energies are from GGA-PBE.

Lattice parameters (Å, degrees): 9.4716 9.4716 9.4716 163.20 163.20 23.84
Fractional positions:
Ag 0.1893 0.1893 0.0000
Ag 0.8107 0.8107 0.0000
Cu 0.0000 0.0000 0.0000
Cu 0.4152 0.4152 0.0000
Cu 0.5848 0.5848 0.0000

- final energy (eV per atom) = -3.298
- excess energy over the best structure of this formula in the dataset (eV per atom) = 0.020
- E_form (kJ/mol of atoms) = 6.0


Here is a relaxed structure of Cu5Ag3 from the Open Quantum Materials Database. Energies are from GGA-PBE.

Lattice parameters (Å, degrees): 2.8045 7.6992 7.6992 42.83 90.00 90.00
Fractional positions:
Ag 0.5000 0.8748 0.3632
Ag 0.0000 0.7632 0.7632
Ag 0.5000 0.3632 0.8748
Cu 0.5000 0.6123 0.1499
Cu 0.0000 0.2612 0.2612
Cu 0.0000 0.4922 0.4922
Cu 0.5000 0.1499 0.6123
Cu 0.0000 0.9834 0.9834

- final energy (eV per atom) = -3.307
- excess energy over the best structure of this formula in the dataset (eV per atom) = 0.029
- E_form (kJ/mol of atoms) = 7.3